No. 1
PrSm2Gd: relaxed, PBE.

abc: 5.1452 5.1452 5.1467
angles: 90.00 90.00 90.00
Last column: nearest neighbours and their distance in Å.
Space group P4/mmm (No. 123)
Asymmetric unit:
1 Pr 0.0000 0.0000 0.0000 (multiplicity 1)  4 Gd 3.64, 8 Sm 3.64
2 Sm 0.0000 0.5000 0.5000 (multiplicity 2)  4 Sm 3.64, 4 Gd 3.64, 4 Pr 3.64
3 Gd 0.5000 0.5000 0.0000 (multiplicity 1)  4 Pr 3.64, 8 Sm 3.64

Summary:
* final energy: -28.25 eV/cell
* polymorph energy (0 for the lowest one): 0.000 eV per atom



No. 2
PrSmGd2: relaxed, PBE.

abc: 5.1310 5.1310 5.1152
angles: 90.00 90.00 90.00
Last column: nearest neighbours and their distance in Å.
Space group P4/mmm (No. 123)
Asymmetric unit:
1 Pr 0.0000 0.0000 0.0000 (multiplicity 1)  8 Gd 3.62, 4 Sm 3.63
2 Sm 0.5000 0.5000 0.0000 (multiplicity 1)  8 Gd 3.62, 4 Pr 3.63
3 Gd 0.0000 0.5000 0.5000 (multiplicity 2)  4 Pr 3.62, 4 Sm 3.62, 4 Gd 3.63

Summary:
* final energy: -37.59 eV/cell
* polymorph energy (0 for the lowest one): 0.000 eV per atom



No. 3
PrSm2Gd: relaxed, PBE.

abc: 8.1892 8.1892 8.1892
angles: 90.00 90.00 90.00
Last column: nearest neighbours and their distance in Å.
Space group Fm-3m (No. 225)
Asymmetric unit:
1 Pr 0.0000 0.0000 0.0000 (multiplicity 4)  8 Sm 3.55
2 Sm 0.2500 0.2500 0.2500 (multiplicity 8)  4 Gd 3.55, 4 Pr 3.55
3 Gd 0.0000 0.0000 0.5000 (multiplicity 4)  8 Sm 3.55

Summary:
* final energy: -111.28 eV/cell
* polymorph energy (0 for the lowest one): 0.108 eV per atom



Question: What is the formula in the first record?
Answer: PrSm2Gd



Repeat the second record exactly.
PrSmGd2: relaxed, PBE.

abc: 5.1310 5.1310 5.1152
angles: 90.00 90.00 90.00
Last column: nearest neighbours and their distance in Å.
Space group P4/mmm (No. 123)
Asymmetric unit:
1 Pr 0.0000 0.0000 0.0000 (multiplicity 1)  8 Gd 3.62, 4 Sm 3.63
2 Sm 0.5000 0.5000 0.0000 (multiplicity 1)  8 Gd 3.62, 4 Pr 3.63
3 Gd 0.0000 0.5000 0.5000 (multiplicity 2)  4 Pr 3.62, 4 Sm 3.62, 4 Gd 3.63

Summary:
* final energy: -37.59 eV/cell
* polymorph energy (0 for the lowest one): 0.000 eV per atom